Density functional theory data (GGA-PBEsol) for a relaxed structure of Fe3Ag.

It has space group Cmmm (No. 65), with a = 5.218 Å, b = 7.535 Å, c = 2.574 Å, α = 90.00°, β = 90.00° and γ = 90.00°. The asymmetric unit holds Fe at (0.000, 0.000, 0.000), Fe at (0.250, 0.250, 0.500) and Ag at (0.000, 0.500, 0.000).

For the total energy, the calculation gives -0.527 Ry per atom. The density of states at the Fermi level is 3.52 states/eV/f.u. For the density, the calculation gives 9.04 g cm⁻³.



Density functional theory data (GGA-PBEsol) for a relaxed structure of MnMo2Pt.

It has space group F-43m (No. 216), with a = 6.145 Å, b = 6.145 Å, c = 6.145 Å, α = 90.00°, β = 90.00° and γ = 90.00°. The asymmetric unit holds Mn at (0.000, 0.000, 0.000), Mo at (0.000, 0.000, 0.500), Mo at (0.250, 0.250, 0.750) and Pt at (0.250, 0.250, 0.250).

For the total energy, the calculation gives -0.733 Ry per atom. The density of states at the Fermi level is 3.91 states/eV/f.u. For the density, the calculation gives 12.65 g cm⁻³. The value obtained for the excess energy over the best structure of this formula in the dataset is 202 meV per atom.



Density functional theory data (GGA-PBEsol) for a relaxed structure of SrZnIn.

It has space group P-6m2 (No. 187), with a = 4.7921 Å, b = 4.7921 Å, c = 3.9327 Å, α = 90.00°, β = 90.00° and γ = 120.00°. The asymmetric unit holds Sr at (0.0000, 0.0000, 0.0000), Zn at (0.3333, 0.6667, 0.5000) and In at (0.6667, 0.3333, 0.5000).

For the total energy, the calculation gives -0.183 Ry per atom. The density of states at the Fermi level is 1.54 states/eV/f.u. For the density, the calculation gives 5.69 g cm⁻³.



Density functional theory data (GGA-PBEsol) for a relaxed structure of TeMoSe4.

It has space group F-43m (No. 216), with a = 7.906 Å, b = 7.906 Å, c = 7.906 Å, α = 90.00°, β = 90.00° and γ = 90.00°. The asymmetric unit holds Te at (0.000, 0.000, 0.000), Mo at (0.250, 0.250, 0.250) and Se at (0.123, 0.123, 0.623).

For the total energy, the calculation gives -0.306 Ry per atom. The density of states at the Fermi level is 5.63 states/eV/f.u. For the density, the calculation gives 7.25 g cm⁻³. The calculation puts the uncorrected formation energy at 0.951 eV per atom.



Density functional theory data (GGA-PBEsol) for a relaxed structure of LiNi4O8.

It has space group C2/m (No. 12), with a = 9.681 Å, b = 5.601 Å, c = 5.102 Å, α = 90.00°, β = 109.40° and γ = 90.00°. The asymmetric unit holds Li at (0.000, 0.000, 0.000), Ni at (0.000, 0.250, 0.500), Ni at (0.248, 0.500, 0.488), O at (0.114, 0.000, 0.704), O at (0.118, 0.500, 0.691) and O at (0.130, 0.242, 0.301).

For the total energy, the calculation gives -0.456 Ry per atom. The density of states at the Fermi level is 5.78 states/eV/f.u. For the density, the calculation gives 4.71 g cm⁻³. The calculation puts the uncorrected formation energy at -0.922 eV per atom.



Density functional theory data (GGA-PBEsol) for a relaxed structure of SbWSe2Br.

It has space group P4/mmm (No. 123), with a = 4.890 Å, b = 4.890 Å, c = 4.975 Å, α = 90.00°, β = 90.00° and γ = 90.00°. The asymmetric unit holds Sb at (0.000, 0.000, 0.000), W at (0.500, 0.500, 0.500), Se at (0.000, 0.500, 0.500) and Br at (0.500, 0.500, 0.000).

For the total energy, the calculation gives -0.380 Ry per atom. The density of states at the Fermi level is 6.32 states/eV/f.u. For the density, the calculation gives 7.59 g cm⁻³. The calculation puts the uncorrected formation energy at 0.420 eV per atom.



Density functional theory data (GGA-PBEsol) for a relaxed structure of LaSc2Tl2.

It has space group P4/mbm (No. 127), with a = 8.777 Å, b = 8.777 Å, c = 3.343 Å, α = 90.00°, β = 90.00° and γ = 90.00°. The asymmetric unit holds La at (0.000, 0.000, 0.000), Sc at (0.137, 0.363, 0.500) and Tl at (0.162, 0.662, 0.000).

For the total energy, the calculation gives -0.372 Ry per atom. The density of states at the Fermi level is 3.79 states/eV/f.u. For the density, the calculation gives 8.22 g cm⁻³. The value obtained for the excess energy over the best structure of this formula in the dataset is 0 meV per atom.



Density functional theory data (GGA-PBEsol) for a relaxed structure of LiPW.

It has space group I4mm (No. 107), with a = 3.057 Å, b = 3.057 Å, c = 8.182 Å, α = 90.00°, β = 90.00° and γ = 90.00°. The asymmetric unit holds Li at (0.000, 0.000, 0.000), P at (0.000, 0.000, 0.654) and W at (0.000, 0.000, 0.311).

For the total energy, the calculation gives -0.530 Ry per atom. The density of states at the Fermi level is 1.00 states/eV/f.u. For the density, the calculation gives 9.63 g cm⁻³. The value obtained for the excess energy over the best structure of this formula in the dataset is 0 meV per atom.



Density functional theory data (GGA-PBEsol) for a relaxed structure of SiSe.

It has space group Imma (No. 74), with a = 3.491 Å, b = 3.981 Å, c = 15.287 Å, α = 90.00°, β = 90.00° and γ = 90.00°. The asymmetric unit holds Si at (0.000, 0.250, 0.042) and Se at (0.000, 0.250, 0.360).

For the total energy, the calculation gives -0.371 Ry per atom. The density of states at the Fermi level is 0.12 states/eV/f.u. For the density, the calculation gives 3.35 g cm⁻³. The calculation puts the uncorrected formation energy at -0.248 eV per atom.



Density functional theory data (GGA-PBEsol) for a relaxed structure of YSb2.

It has space group P6/mmm (No. 191), with a = 5.3241 Å, b = 5.3241 Å, c = 3.1890 Å, α = 90.00°, β = 90.00° and γ = 120.00°. The asymmetric unit holds Y at (0.0000, 0.0000, 0.0000) and Sb at (0.3333, 0.6667, 0.5000).

For the total energy, the calculation gives -0.422 Ry per atom. The density of states at the Fermi level is 2.32 states/eV/f.u. For the density, the calculation gives 7.05 g cm⁻³. The calculation puts the uncorrected formation energy at -0.430 eV per atom.



Density functional theory data (GGA-PBEsol) for a relaxed structure of ScNi6Ir.

It has space group Cmmm (No. 65), with a = 7.188 Å, b = 10.228 Å, c = 10.203 Å, α = 90.00°, β = 90.00° and γ = 90.00°. The asymmetric unit holds Sc at (0.000, 0.000, 0.249), Sc at (0.000, 0.248, 0.000), Ni at (0.000, 0.000, 0.000), Ni at (0.000, 0.000, 0.500), Ni at (0.000, 0.254, 0.256), Ni at (0.000, 0.500, 0.000), Ni at (0.000, 0.500, 0.500), Ni at (0.245, 0.374, 0.377), Ni at (0.245, 0.376, 0.128), Ir at (0.000, 0.240, 0.500) and Ir at (0.000, 0.500, 0.252).

For the total energy, the calculation gives -0.504 Ry per atom. The density of states at the Fermi level is 11.35 states/eV/f.u. For the density, the calculation gives 10.44 g cm⁻³.



Density functional theory data (GGA-PBEsol) for a relaxed structure of RhSeIO2.

It has space group P4/mmm (No. 123), with a = 3.792 Å, b = 3.792 Å, c = 7.340 Å, α = 90.00°, β = 90.00° and γ = 90.00°. The asymmetric unit holds Rh at (0.000, 0.000, 0.000), Se at (0.500, 0.500, 0.500), I at (0.000, 0.000, 0.500) and O at (0.000, 0.500, 0.000).

For the total energy, the calculation gives -0.354 Ry per atom. The density of states at the Fermi level is 2.59 states/eV/f.u. For the density, the calculation gives 5.36 g cm⁻³. The calculation puts the uncorrected formation energy at 0.034 eV per atom.